Record 1
# KAl (PBE, optimized geometry)
data_KAl
_chemical_formula_sum 'K2 Al2'
_space_group_name_H-M_alt 'P 1'
_space_group_IT_number 1
_cell_length_a 4.363
_cell_length_b 4.836
_cell_length_c 5.829
_cell_angle_alpha 90.00
_cell_angle_beta 90.00
_cell_angle_gamma 90.00
loop_
_space_group_symop_operation_xyz
'x,y,z'
loop_
_atom_site_label
_atom_site_fract_x
_atom_site_fract_y
_atom_site_fract_z
K1 0.000 0.000 0.000
K2 0.500 0.500 0.000
Al1 0.000 0.500 0.500
Al2 0.500 0.000 0.500
# Relative energy among the computed polymorphs, eV per formula unit: 0.74
# Density of states at the Fermi level, states/eV/atom: 0.598
# Volume, Å³/cell: 123.0
# Magnetization, μB/cell: 0.0
# Energy relative to the elements, eV/f.u.: 0.97

Record 2
# Ce3PrSm2Sb6 (PBE, optimized geometry)
data_Ce3PrSm2Sb6
_chemical_formula_sum 'Ce3 Pr1 Sm2 Sb6'
_space_group_name_H-M_alt 'P 1'
_space_group_IT_number 1
_cell_length_a 7.794
_cell_length_b 7.794
_cell_length_c 7.798
_cell_angle_alpha 99.59
_cell_angle_beta 99.59
_cell_angle_gamma 119.99
loop_
_space_group_symop_operation_xyz
'x,y,z'
loop_
_atom_site_label
_atom_site_fract_x
_atom_site_fract_y
_atom_site_fract_z
Ce1 0.000 0.000 0.000
Ce2 0.334 0.666 0.000
Ce3 0.666 0.334 0.000
Pr1 0.500 0.500 0.500
Sm1 0.167 0.833 0.500
Sm2 0.833 0.167 0.500
Sb1 0.080 0.416 0.248
Sb2 0.247 0.247 0.751
Sb3 0.416 0.080 0.248
Sb4 0.584 0.920 0.752
Sb5 0.753 0.753 0.249
Sb6 0.920 0.584 0.752
# Formation energy (no corrections), eV/f.u.: -13.4
# Density of states at the Fermi level, states/eV/atom: 1.628
# Volume, Å³/cell: 386.8
# Magnetization, μB/cell: 2.3

Record 3
# SrHgRu2 (PBE, optimized geometry)
data_SrHgRu2
_chemical_formula_sum 'Sr1 Hg1 Ru2'
_space_group_name_H-M_alt 'P 1'
_space_group_IT_number 1
_cell_length_a 2.992
_cell_length_b 3.681
_cell_length_c 7.586
_cell_angle_alpha 90.00
_cell_angle_beta 90.00
_cell_angle_gamma 90.00
loop_
_space_group_symop_operation_xyz
'x,y,z'
loop_
_atom_site_label
_atom_site_fract_x
_atom_site_fract_y
_atom_site_fract_z
Sr1 0.000 0.000 0.000
Hg1 0.500 0.500 0.316
Ru1 0.000 0.000 0.569
Ru2 0.500 0.500 0.698
# Density of states at the Fermi level, states/eV/atom: 0.884
# Volume, Å³/cell: 83.6
# Magnetization, μB/cell: 0.0
# Energy relative to the elements, eV/f.u.: 1.10

Record 4
# Na3Ho3GaS8 (PBE, optimized geometry)
data_Na3Ho3GaS8
_chemical_formula_sum 'Na3 Ho3 Ga1 S8'
_space_group_name_H-M_alt 'P 1'
_space_group_IT_number 1
_cell_length_a 7.777
_cell_length_b 7.777
_cell_length_c 8.109
_cell_angle_alpha 118.71
_cell_angle_beta 118.71
_cell_angle_gamma 59.95
loop_
_space_group_symop_operation_xyz
'x,y,z'
loop_
_atom_site_label
_atom_site_fract_x
_atom_site_fract_y
_atom_site_fract_z
Na1 0.000 0.000 0.000
Na2 0.000 0.500 0.000
Na3 0.500 0.000 0.000
Ho1 0.000 0.500 0.500
Ho2 0.500 0.000 0.500
Ho3 0.500 0.500 0.500
Ga1 0.000 0.000 0.500
S1 0.227 0.227 0.713
S2 0.227 0.759 0.714
S3 0.241 0.773 0.286
S4 0.258 0.258 0.273
S5 0.742 0.742 0.727
S6 0.759 0.227 0.714
S7 0.773 0.241 0.286
S8 0.773 0.773 0.287
# Formation energy (no corrections), eV/f.u.: -21.9
# Density of states at the Fermi level, states/eV/atom: 0.834
# Volume, Å³/cell: 353.3
# Magnetization, μB/cell: 0.0

Record 5
# AcTb2Fe (PBE, optimized geometry)
data_AcTb2Fe
_chemical_formula_sum 'Ac3 Tb6 Fe3'
_space_group_name_H-M_alt 'P 1'
_space_group_IT_number 1
_cell_length_a 3.710
_cell_length_b 3.710
_cell_length_c 31.986
_cell_angle_alpha 90.00
_cell_angle_beta 90.00
_cell_angle_gamma 120.00
loop_
_space_group_symop_operation_xyz
'x,y,z'
loop_
_atom_site_label
_atom_site_fract_x
_atom_site_fract_y
_atom_site_fract_z
Ac1 0.000 0.000 0.000
Ac2 0.333 0.667 0.667
Ac3 0.667 0.333 0.333
Tb1 0.000 0.000 0.115
Tb2 0.000 0.000 0.885
Tb3 0.333 0.667 0.551
Tb4 0.333 0.667 0.782
Tb5 0.667 0.333 0.218
Tb6 0.667 0.333 0.449
Fe1 0.000 0.000 0.500
Fe2 0.333 0.667 0.167
Fe3 0.667 0.333 0.833
# Relative energy among the computed polymorphs, eV per formula unit: 0.74
# Density of states at the Fermi level, states/eV/atom: 0.967
# Volume, Å³/cell: 381.2
# Magnetization, μB/cell: 2.1
# Energy relative to the elements, eV/f.u.: 1.27

Record 6
# KPa2GaN5 (PBE, optimized geometry)
data_KPa2GaN5
_chemical_formula_sum 'K2 Pa4 Ga2 N10'
_space_group_name_H-M_alt 'P 1'
_space_group_IT_number 1
_cell_length_a 7.462
_cell_length_b 7.462
_cell_length_c 7.462
_cell_angle_alpha 126.44
_cell_angle_beta 126.44
_cell_angle_gamma 79.17
loop_
_space_group_symop_operation_xyz
'x,y,z'
loop_
_atom_site_label
_atom_site_fract_x
_atom_site_fract_y
_atom_site_fract_z
K1 0.250 0.250 0.000
K2 0.750 0.750 0.000
Pa1 0.188 0.688 0.876
Pa2 0.312 0.188 0.500
Pa3 0.688 0.812 0.500
Pa4 0.812 0.312 0.124
Ga1 0.250 0.750 0.500
Ga2 0.750 0.250 0.500
N1 0.000 0.000 0.000
N2 0.016 0.235 0.500
N3 0.235 0.735 0.219
N4 0.265 0.484 0.500
N5 0.484 0.984 0.219
N6 0.500 0.500 0.000
N7 0.516 0.016 0.781
N8 0.735 0.516 0.500
N9 0.765 0.265 0.781
N10 0.984 0.765 0.500
# Formation energy (no corrections), eV/f.u.: -7.6
# Density of states at the Fermi level, states/eV/atom: 0.693
# Volume, Å³/cell: 260.1
# Magnetization, μB/cell: 1.4

Record 7
# ErScSi (PBE, optimized geometry)
data_ErScSi
_chemical_formula_sum 'Er4 Sc4 Si4'
_space_group_name_H-M_alt 'P 1'
_space_group_IT_number 1
_cell_length_a 7.991
_cell_length_b 4.595
_cell_length_c 8.062
_cell_angle_alpha 90.00
_cell_angle_beta 109.10
_cell_angle_gamma 90.00
loop_
_space_group_symop_operation_xyz
'x,y,z'
loop_
_atom_site_label
_atom_site_fract_x
_atom_site_fract_y
_atom_site_fract_z
Er1 0.128 0.000 0.384
Er2 0.372 0.500 0.616
Er3 0.628 0.500 0.384
Er4 0.872 0.000 0.616
Sc1 0.208 0.500 0.126
Sc2 0.292 0.000 0.874
Sc3 0.708 0.000 0.126
Sc4 0.792 0.500 0.874
Si1 0.086 0.500 0.756
Si2 0.414 0.000 0.244
Si3 0.586 0.000 0.756
Si4 0.914 0.500 0.244
# Relative energy among the computed polymorphs, eV per formula unit: 0.70
# Formation energy (no corrections), eV/f.u.: -1.2
# Density of states at the Fermi level, states/eV/atom: 0.734
# Volume, Å³/cell: 279.8
# Magnetization, μB/cell: 0.0

Record 8
# Pm3Ga9Ru2 (PBE, optimized geometry)
data_Pm3Ga9Ru2
_chemical_formula_sum 'Pm3 Ga9 Ru2'
_space_group_name_H-M_alt 'P 1'
_space_group_IT_number 1
_cell_length_a 8.233
_cell_length_b 8.233
_cell_length_c 8.233
_cell_angle_alpha 149.58
_cell_angle_beta 109.51
_cell_angle_gamma 78.68
loop_
_space_group_symop_operation_xyz
'x,y,z'
loop_
_atom_site_label
_atom_site_fract_x
_atom_site_fract_y
_atom_site_fract_z
Pm1 0.000 0.000 0.000
Pm2 0.301 0.301 0.000
Pm3 0.699 0.699 0.000
Ga1 0.015 0.653 0.362
Ga2 0.153 0.871 0.282
Ga3 0.291 0.653 0.638
Ga4 0.411 0.129 0.282
Ga5 0.500 0.000 0.500
Ga6 0.589 0.871 0.718
Ga7 0.709 0.347 0.362
Ga8 0.847 0.129 0.718
Ga9 0.985 0.347 0.638
Ru1 0.324 0.500 0.824
Ru2 0.676 0.500 0.176
# Density of states at the Fermi level, states/eV/atom: 0.296
# Volume, Å³/cell: 261.4
# Magnetization, μB/cell: 0.0
# Energy relative to the elements, eV/f.u.: -8.03